## Ac2Zn3In4Au (PBE)

Data for crystalline Ac2Zn3In4Au at its relaxed geometry.

final energy = -3.039 eV/atom

POSCAR file:
```
Ac2Zn3In4Au
1.0
4.6944 0.0000 0.0000
0.0000 4.6944 0.0000
0.0000 0.0000 11.2903
Ac Zn In Au
2 3 4 1
Cartesian
0.0000 2.3472 2.7367 Ac
2.3472 0.0000 8.5536 Ac
0.0000 0.0000 0.0000 Zn
0.0000 2.3472 7.1892 Zn
2.3472 0.0000 4.1011 Zn
0.0000 0.0000 5.6452 In
0.0000 2.3472 9.8309 In
2.3472 0.0000 1.4594 In
2.3472 2.3472 5.6452 In
2.3472 2.3472 0.0000 Au
```